# PBE-GGA Sr2CdAg2, relaxed
# E_tot in eV/atom: -2.117
# Total magnetic moment in μB/cell: 0.0
data_Sr2CdAg2
_space_group_name_H-M_alt 'P 4/m b m'
_space_group_IT_number 127
_space_group_name_Hall '-P 4 2ab'
_cell_length_a 8.998
_cell_length_b 8.998
_cell_length_c 3.992
_cell_angle_alpha 90.00
_cell_angle_beta 90.00
_cell_angle_gamma 90.00
loop_
_atom_site_label
_atom_site_type_symbol
_atom_site_fract_x
_atom_site_fract_y
_atom_site_fract_z
Sr1 Sr 0.171 0.329 0.000
Cd1 Cd 0.000 0.000 0.000
Ag1 Ag 0.117 0.617 0.500

***

# PBE-GGA Sr3Cd3Ag8, relaxed
# E_tot in eV/atom: -2.418
# Total magnetic moment in μB/cell: 0.0
data_Sr3Cd3Ag8
_space_group_name_H-M_alt 'I m m m'
_space_group_IT_number 71
_space_group_name_Hall '-I 2 2'
_cell_length_a 4.815
_cell_length_b 9.917
_cell_length_c 14.286
_cell_angle_alpha 90.00
_cell_angle_beta 90.00
_cell_angle_gamma 90.00
loop_
_atom_site_label
_atom_site_type_symbol
_atom_site_fract_x
_atom_site_fract_y
_atom_site_fract_z
Sr1 Sr 0.000 0.000 0.000
Sr2 Sr 0.000 0.000 0.298
Cd1 Cd 0.000 0.209 0.500
Cd2 Cd 0.000 0.500 0.000
Ag1 Ag 0.000 0.281 0.132
Ag2 Ag 0.000 0.358 0.329

***

# PBE-GGA Sr2Cd2Ag, relaxed
# E_tot in eV/atom: -1.885
# Total magnetic moment in μB/cell: 0.0
data_Sr2Cd2Ag
_space_group_name_H-M_alt 'C 1 2/m 1'
_space_group_IT_number 12
_space_group_name_Hall '-C 2y'
_cell_length_a 11.959
_cell_length_b 5.168
_cell_length_c 10.559
_cell_angle_alpha 90.00
_cell_angle_beta 112.36
_cell_angle_gamma 90.00
loop_
_atom_site_label
_atom_site_type_symbol
_atom_site_fract_x
_atom_site_fract_y
_atom_site_fract_z
Sr1 Sr 0.105 0.000 0.390
Sr2 Sr 0.170 0.000 0.052
Cd1 Cd 0.009 0.500 0.146
Cd2 Cd 0.104 0.500 0.637
Ag1 Ag 0.226 0.000 0.730

***

# PBE-GGA Sr4CdAg, relaxed
# E_tot in eV/atom: -1.865
# Total magnetic moment in μB/cell: 0.0
data_Sr4CdAg
_space_group_name_H-M_alt 'C 1 2/m 1'
_space_group_IT_number 12
_space_group_name_Hall '-C 2y'
_cell_length_a 8.015
_cell_length_b 8.015
_cell_length_c 7.960
_cell_angle_alpha 90.00
_cell_angle_beta 90.10
_cell_angle_gamma 90.00
loop_
_atom_site_label
_atom_site_type_symbol
_atom_site_fract_x
_atom_site_fract_y
_atom_site_fract_z
Sr1 Sr 0.250 0.250 0.247
Cd1 Cd 0.000 0.000 0.500
Ag1 Ag 0.000 0.500 0.000

***

Q: Which formula does entry 4 have?
A: Sr4CdAg

***

Q: Look up the E_tot of the third one.
A: -1.885 eV/atom

***

Q: What is the formula in the first record?
A: Sr2CdAg2